Entry 1:
# MgOsCl2 (PBE-GGA, relaxed)
data_MgOsCl2
_cell_length_a 2.948
_cell_length_b 4.138
_cell_length_c 5.794
_cell_angle_alpha 90.00
_cell_angle_beta 90.00
_cell_angle_gamma 90.00
_symmetry_space_group_name_H-M 'P m m m'
_symmetry_Int_Tables_number 47
loop_
_symmetry_equiv_pos_as_xyz
'x,y,z'
'-x,-y,-z'
'-x,-y,z'
'x,y,-z'
'x,-y,-z'
'-x,y,z'
'-x,y,-z'
'x,-y,z'
loop_
_atom_site_label
_atom_site_type_symbol
_atom_site_fract_x
_atom_site_fract_y
_atom_site_fract_z
Mg1 Mg 0.000 0.000 0.000
Os1 Os 0.500 0.000 0.500
Cl1 Cl 0.000 0.500 0.500
Cl2 Cl 0.500 0.500 0.000
# - Formation energy from raw total energies: 0.255 eV/atom
# - Spin magnetization: 0.00 μB/cell


Entry 2:
# NaSr4Ge2 (PBE-GGA, relaxed)
data_NaSr4Ge2
_cell_length_a 5.5286
_cell_length_b 5.5286
_cell_length_c 26.7882
_cell_angle_alpha 90.00
_cell_angle_beta 90.00
_cell_angle_gamma 120.00
_symmetry_space_group_name_H-M 'R -3 m'
_symmetry_Int_Tables_number 166
_symmetry_space_group_name_Hall '-R 3 2"'
loop_
_atom_site_label
_atom_site_type_symbol
_atom_site_fract_x
_atom_site_fract_y
_atom_site_fract_z
Na1 Na 0.0000 0.0000 0.0000
Sr1 Sr 0.0000 0.0000 0.1307
Sr2 Sr 0.0000 0.0000 0.3824
Ge1 Ge 0.0000 0.0000 0.2540
# - Spin magnetization: 0.00 μB/cell
# - Formation enthalpy at 0 K: -2.7 eV per formula unit


Entry 3:
# La2InRh (PBE-GGA, relaxed)
data_La2InRh
_cell_length_a 4.9509
_cell_length_b 4.9509
_cell_length_c 14.3249
_cell_angle_alpha 90.00
_cell_angle_beta 90.00
_cell_angle_gamma 120.00
_symmetry_space_group_name_H-M 'R 3 m'
_symmetry_Int_Tables_number 160
_symmetry_space_group_name_Hall 'R 3 -2"'
loop_
_atom_site_label
_atom_site_type_symbol
_atom_site_fract_x
_atom_site_fract_y
_atom_site_fract_z
La1 La 0.0000 0.0000 0.0000
La2 La 0.0000 0.0000 0.2240
In1 In 0.0000 0.0000 0.4605
Rh1 Rh 0.0000 0.0000 0.7836
# - Spin magnetization: 0.00 μB/cell
# - Formation enthalpy at 0 K: -1.9 eV per formula unit


Entry 4:
# BiRuRh2 (PBE-GGA, relaxed)
data_BiRuRh2
_cell_length_a 3.938
_cell_length_b 3.938
_cell_length_c 18.751
_cell_angle_alpha 90.00
_cell_angle_beta 90.00
_cell_angle_gamma 90.00
_symmetry_space_group_name_H-M 'I -4 2 d'
_symmetry_Int_Tables_number 122
_symmetry_space_group_name_Hall 'I -4 2bw'
loop_
_atom_site_label
_atom_site_type_symbol
_atom_site_fract_x
_atom_site_fract_y
_atom_site_fract_z
Bi1 Bi 0.000 0.000 0.000
Ru1 Ru 0.000 0.000 0.500
Rh1 Rh 0.214 0.250 0.625
# - Spin magnetization: 0.00 μB/cell
# - Formation enthalpy at 0 K: 2.2 eV per formula unit


Entry 5:
# Mg2FeTc (PBE-GGA, relaxed)
data_Mg2FeTc
_cell_length_a 2.8573
_cell_length_b 2.8573
_cell_length_c 27.6433
_cell_angle_alpha 90.00
_cell_angle_beta 90.00
_cell_angle_gamma 120.00
_symmetry_space_group_name_H-M 'R 3 m'
_symmetry_Int_Tables_number 160
_symmetry_space_group_name_Hall 'R 3 -2"'
loop_
_atom_site_label
_atom_site_type_symbol
_atom_site_fract_x
_atom_site_fract_y
_atom_site_fract_z
Mg1 Mg 0.0000 0.0000 0.0000
Mg2 Mg 0.0000 0.0000 0.2324
Fe1 Fe 0.0000 0.0000 0.7468
Tc1 Tc 0.0000 0.0000 0.4815
# - Spin magnetization: 5.54 μB/cell
# - Formation enthalpy at 0 K: 1.0 eV per formula unit


Entry 6:
# Dy12Ho5Sc (PBE-GGA, relaxed)
data_Dy12Ho5Sc
_cell_length_a 6.123
_cell_length_b 10.605
_cell_length_c 17.239
_cell_angle_alpha 90.00
_cell_angle_beta 96.79
_cell_angle_gamma 90.00
_symmetry_space_group_name_H-M 'C 1 2/m 1'
_symmetry_Int_Tables_number 12
loop_
_symmetry_equiv_pos_as_xyz
'x,y,z'
'-x,-y,-z'
'-x,y,-z'
'x,-y,z'
'x+1/2,y+1/2,z'
'-x+1/2,-y+1/2,-z'
'-x+1/2,y+1/2,-z'
'x+1/2,-y+1/2,z'
loop_
_atom_site_label
_atom_site_type_symbol
_atom_site_fract_x
_atom_site_fract_y
_atom_site_fract_z
Dy1 Dy 0.110 0.167 0.332
Dy2 Dy 0.111 0.500 0.332
Dy3 Dy 0.220 0.335 0.164
Dy4 Dy 0.225 0.000 0.164
Ho1 Ho 0.000 0.000 0.500
Ho2 Ho 0.000 0.167 0.000
Ho3 Ho 0.000 0.333 0.500
Sc1 Sc 0.000 0.500 0.000
# - Spin magnetization: 0.00 μB/cell
# - Formation enthalpy at 0 K: 0.3 eV per formula unit


Entry 7:
# Pr3Th5S8 (PBE-GGA, relaxed)
data_Pr3Th5S8
_cell_length_a 8.1034
_cell_length_b 8.1034
_cell_length_c 20.0002
_cell_angle_alpha 90.00
_cell_angle_beta 90.00
_cell_angle_gamma 120.00
_symmetry_space_group_name_H-M 'R -3 m'
_symmetry_Int_Tables_number 166
_symmetry_space_group_name_Hall '-R 3 2"'
loop_
_atom_site_label
_atom_site_type_symbol
_atom_site_fract_x
_atom_site_fract_y
_atom_site_fract_z
Pr1 Pr 0.0000 0.5000 0.0000
Th1 Th 0.0000 0.0000 0.0000
Th2 Th 0.0000 0.0000 0.5000
Th3 Th 0.0000 0.5000 0.5000
S1 S 0.0000 0.0000 0.2489
S2 S 0.0010 0.5005 0.7504
# - Formation energy from raw total energies: -1.902 eV/atom
# - Spin magnetization: 0.00 μB/cell


Entry 8:
# MgCr4S8 (PBE-GGA, relaxed)
data_MgCr4S8
_cell_length_a 9.930
_cell_length_b 9.930
_cell_length_c 9.930
_cell_angle_alpha 90.00
_cell_angle_beta 90.00
_cell_angle_gamma 90.00
_symmetry_space_group_name_H-M 'F -4 3 m'
_symmetry_Int_Tables_number 216
_symmetry_space_group_name_Hall 'F -4 2 3'
loop_
_atom_site_label
_atom_site_type_symbol
_atom_site_fract_x
_atom_site_fract_y
_atom_site_fract_z
Mg1 Mg 0.000 0.000 0.000
Cr1 Cr 0.117 0.117 0.617
S1 S 0.120 0.120 0.380
S2 S 0.139 0.139 0.861
# - Formation energy from raw total energies: -0.734 eV/atom
# - Spin magnetization: 40.00 μB/cell


Entry 9:
# RbHgI3 (PBE-GGA, relaxed)
data_RbHgI3
_cell_length_a 6.046
_cell_length_b 6.046
_cell_length_c 6.046
_cell_angle_alpha 90.00
_cell_angle_beta 90.00
_cell_angle_gamma 90.00
_symmetry_space_group_name_H-M 'P m -3 m'
_symmetry_Int_Tables_number 221
_symmetry_space_group_name_Hall '-P 4 2 3'
loop_
_atom_site_label
_atom_site_type_symbol
_atom_site_fract_x
_atom_site_fract_y
_atom_site_fract_z
Rb1 Rb 0.000 0.000 0.000
Hg1 Hg 0.500 0.500 0.500
I1 I 0.000 0.500 0.500
# - Formation energy from raw total energies: -0.692 eV/atom
# - Spin magnetization: 0.00 μB/cell


Entry 10:
# La2CeRh (PBE-GGA, relaxed)
data_La2CeRh
_cell_length_a 3.633
_cell_length_b 3.633
_cell_length_c 8.039
_cell_angle_alpha 90.00
_cell_angle_beta 90.00
_cell_angle_gamma 90.00
_symmetry_space_group_name_H-M 'P 4/m m m'
_symmetry_Int_Tables_number 123
_symmetry_space_group_name_Hall '-P 4 2'
loop_
_atom_site_label
_atom_site_type_symbol
_atom_site_fract_x
_atom_site_fract_y
_atom_site_fract_z
La1 La 0.000 0.000 0.213
Ce1 Ce 0.500 0.500 0.500
Rh1 Rh 0.500 0.500 0.000
# - Spin magnetization: 0.00 μB/cell
# - Formation enthalpy at 0 K: -1.0 eV per formula unit


Entry 11:
# GeSb2TeI (PBE-GGA, relaxed)
data_GeSb2TeI
_cell_length_a 5.529
_cell_length_b 5.529
_cell_length_c 5.332
_cell_angle_alpha 90.00
_cell_angle_beta 90.00
_cell_angle_gamma 90.00
_symmetry_space_group_name_H-M 'P 4/m m m'
_symmetry_Int_Tables_number 123
_symmetry_space_group_name_Hall '-P 4 2'
loop_
_atom_site_label
_atom_site_type_symbol
_atom_site_fract_x
_atom_site_fract_y
_atom_site_fract_z
Ge1 Ge 0.000 0.000 0.000
Sb1 Sb 0.000 0.500 0.000
Te1 Te 0.000 0.000 0.500
I1 I 0.500 0.500 0.500
# - Formation energy from raw total energies: 0.542 eV/atom
# - Spin magnetization: 0.00 μB/cell


Entry 12:
# SrInB3 (PBE-GGA, relaxed)
data_SrInB3
_cell_length_a 4.601
_cell_length_b 4.601
_cell_length_c 4.601
_cell_angle_alpha 90.00
_cell_angle_beta 90.00
_cell_angle_gamma 90.00
_symmetry_space_group_name_H-M 'P m -3 m'
_symmetry_Int_Tables_number 221
_symmetry_space_group_name_Hall '-P 4 2 3'
loop_
_atom_site_label
_atom_site_type_symbol
_atom_site_fract_x
_atom_site_fract_y
_atom_site_fract_z
Sr1 Sr 0.000 0.000 0.000
In1 In 0.500 0.500 0.500
B1 B 0.000 0.500 0.500
# - Spin magnetization: 0.00 μB/cell
# - Formation enthalpy at 0 K: 7.9 eV per formula unit


Question: spin magnetization of number 2 (NaSr4Ge2)?
Answer: 0.00 μB/cell